Entry 1:
DFT (PBE-GGA) results for KPbN2O after structural relaxation.

Summary:
formation energy from raw total energies	4.13	eV/f.u.
DFT total energy	-22.28	eV per formula unit

Structure (extended XYZ):
```
5
Lattice="4.6870 0.0000 0.0000 0.0000 4.6870 0.0000 0.0000 0.0000 4.4260" Properties=species:S:1:pos:R:3 pbc="T T T"
K 0.0000 0.0000 0.0000
Pb 2.3435 2.3435 2.2130
N 0.0000 2.3435 2.2130
N 2.3435 0.0000 2.2130
O 2.3435 2.3435 0.0000
```


Entry 2:
DFT (PBE-GGA) results for Sr2AcTcN4 after structural relaxation.

Summary:
formation energy from raw total energies	-4.40	eV/f.u.
DFT total energy	-55.54	eV per formula unit

Structure (extended XYZ):
```
16
Lattice="1.7989 -6.2533 0.0000 1.7989 6.2533 0.0000 0.0000 0.0000 12.8796" Properties=species:S:1:pos:R:3 pbc="T T T"
Sr 1.7989 4.6334 6.9212
Sr 1.7989 4.6334 12.3982
Sr 1.7989 -4.6334 0.4814
Sr 1.7989 -4.6334 5.9584
Ac 1.7989 0.8517 9.6597
Ac 1.7989 -0.8517 3.2199
Tc 1.7989 2.3406 3.2199
Tc 1.7989 -2.3406 9.6597
N 1.7989 5.0804 9.6597
N 1.7989 3.3845 1.7585
N 1.7989 3.3845 4.6813
N 1.7989 0.0000 0.0000
N 1.7989 0.0000 6.4398
N 1.7989 -3.3845 8.1983
N 1.7989 -3.3845 11.1211
N 1.7989 -5.0804 3.2199
```


> Which of these has the highest formation energy from raw total energies?

KPbN2O


> Among the records above, which one has the lowest DFT total energy?

Sr2AcTcN4